PrYP: optimized geometry, PBE.

Output
- Calculated volume: 29.882 A^3/atom
- M_tot: 0.0 μB/f.u.
- Energy of formation from the pure elements: -982 meV/atom
- D(E_F): 0.80 states/eV/atom

```
data_PrYP
_cell_length_a 5.5755
_cell_length_b 7.9749
_cell_length_c 8.0646
_cell_angle_alpha 90.04
_cell_angle_beta 90.00
_cell_angle_gamma 90.00
_space_group_name_H-M_alt 'P 1'
_space_group_IT_number 1
_space_group_name_Hall 'P 1'
loop_
_atom_site_label
_atom_site_type_symbol
_atom_site_fract_x
_atom_site_fract_y
_atom_site_fract_z
_atom_site_occupancy
Pr1 Pr 0.2500 0.3748 0.6245 1
Pr2 Pr 0.7500 0.1252 0.3755 1
Pr3 Pr 0.7500 0.6252 0.3755 1
Pr4 Pr 0.2500 0.8748 0.6245 1
P1 P 0.7500 0.8751 0.1216 1
P2 P 0.2500 0.6249 0.8784 1
P3 P 0.2500 0.1249 0.8784 1
P4 P 0.7500 0.3751 0.1216 1
Y1 Y 0.7500 0.1249 0.8835 1
Y2 Y 0.2500 0.8751 0.1165 1
Y3 Y 0.2500 0.3751 0.1165 1
Y4 Y 0.7500 0.6249 0.8835 1
```